Here is a relaxed Ba2Tl3Ag crystal from Alexandria via LeMat-Bulk. Energies are from PBE.

Geometry as extended XYZ:
```
6
Lattice="6.116 -2.629 0.000 6.116 2.629 0.000 -5.623 0.000 6.296" Properties=species:S:1:pos:R:3 pbc="T T T"
Ba 0.000 0.000 0.000
Ba -2.256 0.000 3.690
Tl 3.457 0.000 1.130
Tl 1.458 0.000 3.736
Tl 6.403 0.000 2.476
Ag 8.607 0.000 0.084
```

Computed properties:
The formation energy comes out at -347 meV per atom. As for the symmetry: Cm. The calculated total energy is -2.646 eV per atom. The magnetization is 0.0000 μB per atom.